Run i
The following is a PBE calculation of a relaxed structure of Tb2ErSn, from Alexandria.

a b c (Å): 4.815 4.798 4.798
angles (deg): 90.00 90.00 90.00
Fractional positions:
Tb: 0.000 0.000 0.500
Tb: 0.000 0.500 0.000
Sn: 0.500 0.000 0.000
Er: 0.500 0.500 0.500

The total moment is 0.0 μB/cell. The density of states at the Fermi level is 1.100 states/eV/atom.

***

Run ii
The following is a PBE calculation of a relaxed structure of Tb2ErSn, from Alexandria.

a b c (Å): 3.503 3.503 12.093
angles (deg): 81.67 81.67 60.00
Fractional positions:
Tb: 0.087 0.087 0.738
Tb: 0.913 0.913 0.262
Sn: 0.000 0.000 0.000
Er: 0.500 0.500 0.500

The total moment is 0.0 μB/cell. The density of states at the Fermi level is 0.989 states/eV/atom.

***

Which one sits at the top of the stability order? run i does.

***

Run i
The following is a PBE calculation of a relaxed structure of Er2SnTe, from Alexandria.

a b c (Å): 4.224 7.608 14.929
angles (deg): 90.00 90.00 90.00
Fractional positions:
Er: 0.750 0.288 0.506
Er: 0.250 0.712 0.494
Er: 0.750 0.788 0.994
Er: 0.250 0.212 0.006
Er: 0.750 0.159 0.756
Er: 0.250 0.341 0.256
Er: 0.750 0.659 0.744
Er: 0.250 0.841 0.244
Sn: 0.750 0.085 0.148
Sn: 0.250 0.915 0.852
Sn: 0.750 0.585 0.352
Sn: 0.250 0.415 0.648
Te: 0.250 0.580 0.097
Te: 0.250 0.080 0.403
Te: 0.750 0.420 0.903
Te: 0.750 0.920 0.597

The total moment is 0.0 μB/cell. The density of states at the Fermi level is 0.300 states/eV/atom.

***

Run ii
The following is a PBE calculation of a relaxed structure of Er2SnTe, from Alexandria.

a b c (Å): 4.357 4.357 7.585
angles (deg): 73.31 73.31 60.00
Fractional positions:
Te: 0.500 0.500 0.500
Sn: 0.000 0.000 0.000
Er: 0.255 0.255 0.235
Er: 0.745 0.745 0.765

The total moment is 0.0 μB/cell. The density of states at the Fermi level is 0.259 states/eV/atom.

***

Which one sits at the top of the stability order? run ii does.

***

Run i
The following is a PBE calculation of a relaxed structure of Er5Sn2Te2, from Alexandria.

a b c (Å): 7.619 8.139 10.156
angles (deg): 113.62 112.03 90.00
Fractional positions:
Er: 0.223 0.680 0.884
Er: 0.777 0.796 0.116
Er: 0.161 0.180 0.884
Er: 0.839 0.296 0.116
Er: 0.297 0.000 0.309
Er: 0.703 0.691 0.691
Er: 0.512 0.500 0.309
Er: 0.488 0.191 0.691
Er: 0.090 0.760 0.500
Er: 0.910 0.260 0.500
Sn: 0.130 0.600 0.170
Sn: 0.870 0.430 0.830
Sn: 0.539 0.100 0.170
Sn: 0.461 0.930 0.830
Te: 0.000 0.966 0.000
Te: 0.500 0.466 0.000
Te: 0.285 0.413 0.500
Te: 0.715 0.913 0.500

The total moment is 0.0 μB/cell. The density of states at the Fermi level is 0.649 states/eV/atom.

***

Run ii
The following is a PBE calculation of a relaxed structure of Er5Sn2Te2, from Alexandria.

a b c (Å): 8.061 8.006 8.632
angles (deg): 117.63 90.00 90.00
Fractional positions:
Er: 0.000 0.000 0.000
Er: 0.500 0.500 0.000
Er: 0.837 0.798 0.268
Er: 0.163 0.470 0.268
Er: 0.337 0.970 0.268
Er: 0.663 0.298 0.268
Er: 0.163 0.202 0.732
Er: 0.837 0.530 0.732
Er: 0.663 0.030 0.732
Er: 0.337 0.702 0.732
Sn: 0.637 0.861 0.000
Sn: 0.363 0.139 0.000
Sn: 0.137 0.639 0.000
Sn: 0.863 0.361 0.000
Te: 0.000 0.202 0.405
Te: 0.500 0.702 0.405
Te: 0.000 0.798 0.595
Te: 0.500 0.298 0.595

The total moment is 0.0 μB/cell. The density of states at the Fermi level is 0.956 states/eV/atom.

***

Which one sits at the top of the stability order? run ii does.

***

Run i
The following is a PBE calculation of a relaxed structure of Er2ThSn, from Alexandria.

a b c (Å): 3.517 3.517 11.935
angles (deg): 81.53 81.53 60.00
Fractional positions:
Sn: 0.000 0.000 0.000
Th: 0.500 0.500 0.500
Er: 0.088 0.088 0.737
Er: 0.912 0.912 0.263

The total moment is 0.0 μB/cell. The density of states at the Fermi level is 0.909 states/eV/atom.

***

Run ii
The following is a PBE calculation of a relaxed structure of Er2ThSn, from Alexandria.

a b c (Å): 4.738 4.872 4.872
angles (deg): 90.00 90.00 90.00
Fractional positions:
Sn: 0.500 0.000 0.000
Th: 0.500 0.500 0.500
Er: 0.000 0.000 0.500
Er: 0.000 0.500 0.000

The total moment is 0.0 μB/cell. The density of states at the Fermi level is 1.052 states/eV/atom.

***

Run iii
The following is a PBE calculation of a relaxed structure of Er2ThSn, from Alexandria.

a b c (Å): 3.824 3.824 7.816
angles (deg): 90.00 90.00 90.00
Fractional positions:
Sn: 0.500 0.500 0.000
Th: 0.500 0.500 0.500
Er: 0.000 0.000 0.778
Er: 0.000 0.000 0.222

The total moment is 0.0 μB/cell. The density of states at the Fermi level is 1.535 states/eV/atom.

***

Which one sits at the top of the stability order? run ii does.